Entry 1:
# NbRuBr2

A geometry-optimized NbRuBr2 structure (PBE, Alexandria via LeMat-Bulk).

Uncorrected formation energy, eV/atom: 0.3914
Total magnetic moment, Bohr magnetons per cell: 0.0
Density of states at the Fermi level, states/eV per atom: 1.059
Total energy, eV per atom: -5.2814

Unit cell a=8.8780 b=8.8780 c=8.8780 alpha=20.85 beta=20.85 gamma=20.85
Closest atoms and distances in Å follow each position.
Element x y z (fractional)
Nb: 0.0000 0.0000 0.0000  6 Br 2.67
Ru: 0.5000 0.5000 0.5000  2 Br 2.42
Br: 0.4071 0.4071 0.4071  1 Ru 2.42, 3 Nb 2.67
Br: 0.5929 0.5929 0.5929  1 Ru 2.42, 3 Nb 2.67

Entry 2:
# Na2Sr2ReO6

A geometry-optimized Na2Sr2ReO6 structure (PBE, Alexandria via LeMat-Bulk).

Uncorrected formation energy, eV/atom: -2.0460
Total magnetic moment, Bohr magnetons per cell: 1.0
Density of states at the Fermi level, states/eV per atom: 0.500
Total energy, eV per atom: -6.4277

Unit cell a=6.0284 b=6.0284 c=5.9169 alpha=97.07 beta=97.07 gamma=118.79
Closest atoms and distances in Å follow each position.
Element x y z (fractional)
Na: 0.1347 0.8653 0.0000  4 O 2.34-2.39
Na: 0.8653 0.1347 0.0000  4 O 2.34-2.39
Sr: 0.3380 0.6620 0.5000  6 O 2.49-2.53
Sr: 0.6620 0.3380 0.5000  6 O 2.49-2.53
Re: 0.0000 0.0000 0.5000  6 O 1.96-1.99
O: 0.0386 0.3114 0.6893  1 Re 1.96
O: 0.2156 0.2156 0.2981  1 Re 1.99
O: 0.3114 0.0386 0.6893  1 Re 1.96
O: 0.6886 0.9614 0.3107  1 Re 1.96
O: 0.7844 0.7844 0.7019  1 Re 1.99
O: 0.9614 0.6886 0.3107  1 Re 1.96

Entry 3:
# Na4Ac3PuTe8

A geometry-optimized Na4Ac3PuTe8 structure (PBE, Alexandria via LeMat-Bulk).

Uncorrected formation energy, eV/atom: -1.2879
Total magnetic moment, Bohr magnetons per cell: 5.0
Density of states at the Fermi level, states/eV per atom: 0.931
Total energy, eV per atom: -4.8545

Unit cell a=9.2990 b=9.2990 c=9.2990 alpha=61.06 beta=61.06 gamma=61.06
Closest atoms and distances in Å follow each position.
Element x y z (fractional)
Na: 0.0000 0.0000 0.0000  6 Te 3.43
Na: 0.0000 0.5000 0.5000  6 Te 3.30-3.31
Na: 0.5000 0.0000 0.5000  6 Te 3.30-3.31
Na: 0.5000 0.5000 0.0000  6 Te 3.30-3.31
Ac: 0.0000 0.0000 0.5000  6 Te 3.32-3.33
Ac: 0.0000 0.5000 0.0000  6 Te 3.32-3.33
Ac: 0.5000 0.0000 0.0000  6 Te 3.32-3.33
Pu: 0.5000 0.5000 0.5000  6 Te 3.20
Te: 0.2506 0.2506 0.2506  3 Na 3.31, 3 Ac 3.32
Te: 0.2585 0.2585 0.7400  1 Pu 3.20, 3 Na 3.30-3.43, 2 Ac 3.33
Te: 0.2585 0.7400 0.2585  1 Pu 3.20, 3 Na 3.30-3.43, 2 Ac 3.33
Te: 0.2600 0.7415 0.7415  1 Pu 3.20, 3 Na 3.30-3.43, 2 Ac 3.33
Te: 0.7400 0.2585 0.2585  1 Pu 3.20, 3 Na 3.30-3.43, 2 Ac 3.33
Te: 0.7415 0.2600 0.7415  1 Pu 3.20, 3 Na 3.30-3.43, 2 Ac 3.33
Te: 0.7415 0.7415 0.2600  1 Pu 3.20, 3 Na 3.30-3.43, 2 Ac 3.33
Te: 0.7494 0.7494 0.7494  3 Na 3.31, 3 Ac 3.32

Entry 4:
# AcNdIr2

A geometry-optimized AcNdIr2 structure (PBE, Alexandria via LeMat-Bulk).

Total magnetic moment, Bohr magnetons per cell: 0.0
Density of states at the Fermi level, states/eV per atom: 1.037
Total energy, eV per atom: -7.1037

Unit cell a=5.1396 b=5.1396 c=5.1396 alpha=60.00 beta=60.00 gamma=60.00
Closest atoms and distances in Å follow each position.
Element x y z (fractional)
Ac: 0.0000 0.0000 0.0000  8 Ir 3.15
Nd: 0.5000 0.5000 0.5000  8 Ir 3.15
Ir: 0.2500 0.2500 0.2500  4 Nd 3.15, 4 Ac 3.15
Ir: 0.7500 0.7500 0.7500  4 Ac 3.15, 4 Nd 3.15

Entry 5:
# NbClO2

A geometry-optimized NbClO2 structure (PBE, Alexandria via LeMat-Bulk).

Uncorrected formation energy, eV/atom: -0.5853
Total magnetic moment, Bohr magnetons per cell: 0.0
Density of states at the Fermi level, states/eV per atom: 0.535
Total energy, eV per atom: -6.0435

Unit cell a=3.9522 b=3.9522 c=3.9522 alpha=60.00 beta=60.00 gamma=60.00
Closest atoms and distances in Å follow each position.
Element x y z (fractional)
Nb: 0.0000 0.0000 0.0000  8 O 2.42
Cl: 0.5000 0.5000 0.5000  8 O 2.42
O: 0.2500 0.2500 0.2500  4 Nb 2.42, 4 Cl 2.42
O: 0.7500 0.7500 0.7500  4 Nb 2.42, 4 Cl 2.42

Entry 6:
# Cs3LiNp3Se8

A geometry-optimized Cs3LiNp3Se8 structure (PBE, Alexandria via LeMat-Bulk).

Uncorrected formation energy, eV/atom: -1.1774
Total magnetic moment, Bohr magnetons per cell: 9.0
Density of states at the Fermi level, states/eV per atom: 1.851
Total energy, eV per atom: -5.9223

Unit cell a=9.7162 b=9.7162 c=9.7162 alpha=51.31 beta=51.31 gamma=51.31
Closest atoms and distances in Å follow each position.
Element x y z (fractional)
Cs: 0.0000 0.5000 0.5000  6 Se 3.59-3.68
Cs: 0.5000 0.0000 0.5000  6 Se 3.59-3.68
Cs: 0.5000 0.5000 0.0000  6 Se 3.59-3.68
Li: 0.5000 0.5000 0.5000  6 Se 2.94
Np: 0.0000 0.0000 0.5000  6 Se 2.81-2.89
Np: 0.0000 0.5000 0.0000  6 Se 2.81-2.89
Np: 0.5000 0.0000 0.0000  6 Se 2.81-2.89
Se: 0.2122 0.7327 0.7327  2 Np 2.81, 1 Li 2.94
Se: 0.2284 0.2284 0.2284  3 Np 2.89
Se: 0.2673 0.2673 0.7878  2 Np 2.81, 1 Li 2.94
Se: 0.2673 0.7878 0.2673  2 Np 2.81, 1 Li 2.94
Se: 0.7327 0.2122 0.7327  2 Np 2.81, 1 Li 2.94
Se: 0.7327 0.7327 0.2122  2 Np 2.81, 1 Li 2.94
Se: 0.7716 0.7716 0.7716  3 Np 2.89
Se: 0.7878 0.2673 0.2673  2 Np 2.81, 1 Li 2.94